Record 1
! SrMn2TcAg, relaxed, DFT PBE; values from VASP
&SYSTEM
  ibrav = 0, nat = 5, ntyp = 4
/
ATOMIC_SPECIES
Mn 54.94 Mn.upf
Sr 87.62 Sr.upf
Ag 107.87 Ag.upf
Tc 98.00 Tc.upf
ATOMIC_POSITIONS angstrom
Mn 2.4035 0.0000 0.0000
Mn 0.0000 0.0000 2.4035
Sr 2.4035 2.5232 2.4035
Ag 0.0000 0.0000 0.0000
Tc 0.0000 2.5232 0.0000
CELL_PARAMETERS angstrom
4.8069 0.0000 0.0000
0.0000 5.0464 0.0000
0.0000 0.0000 4.8069
! Energy of formation from the pure elements, eV/atom: 1.91
! E_tot, eV/atom: -4.734
! Density of states at the Fermi level, states/eV/atom: 2.023

***

Record 2
! NaBiW3, relaxed, DFT PBE; values from VASP
&SYSTEM
  ibrav = 0, nat = 5, ntyp = 3
/
ATOMIC_SPECIES
W 183.84 W.upf
Na 22.99 Na.upf
Bi 208.98 Bi.upf
ATOMIC_POSITIONS angstrom
W 2.3431 0.0000 0.0000
W 0.0000 0.0000 2.3431
W 0.0000 2.3431 0.0000
Na 0.0000 0.0000 0.0000
Bi 2.3431 2.3431 2.3431
CELL_PARAMETERS angstrom
4.6862 0.0000 0.0000
0.0000 4.6862 0.0000
0.0000 0.0000 4.6862
! Energy of formation from the pure elements, eV/atom: 2.98
! Energy relative to the lowest polymorph listed for this composition, eV/atom: 0.000
! E_tot, eV/atom: -5.835
! Density of states at the Fermi level, states/eV/atom: 1.753

***

- energy of formation from the pure elements of number 2 (NaBiW3)?
  2.98 eV/atom

***

- density of states at the Fermi level of number 2 (NaBiW3)?
  1.753 states/eV/atom

***

- energy of formation from the pure elements of number 1 (SrMn2TcAg)?
  1.91 eV/atom